# TaGaSb | Alexandria via LeMat-Bulk | GGA-PBE | optimized geometry
data_TaGaSb
_cell_length_a 3.7291
_cell_length_b 3.7291
_cell_length_c 8.4000
_cell_angle_alpha 90.00
_cell_angle_beta 90.00
_cell_angle_gamma 90.00
_space_group_name_H-M_alt 'P 4/n m m'
_space_group_IT_number 129
loop_
_space_group_symop_operation_xyz
'x,y,z'
'-x,-y,-z'
'-y+1/2,x,z'
'y+1/2,-x,-z'
'-x+1/2,-y+1/2,z'
'x+1/2,y+1/2,-z'
'y,-x+1/2,z'
'-y,x+1/2,-z'
'x+1/2,-y,-z'
'-x+1/2,y,z'
'-y,-x,-z'
'y,x,z'
'-x,y+1/2,-z'
'x,-y+1/2,z'
'y+1/2,x+1/2,-z'
'-y+1/2,-x+1/2,z'
loop_
_atom_site_label
_atom_site_fract_x
_atom_site_fract_y
_atom_site_fract_z
Ta1 0.2500 0.2500 0.2470
Ga1 0.2500 0.7500 0.5000
Sb1 0.2500 0.2500 0.8834
# E_tot ... -6.4716 eV per atom

***

# TaGaSb2Te | Alexandria via LeMat-Bulk | GGA-PBE | optimized geometry
data_TaGaSb2Te
_cell_length_a 5.1318
_cell_length_b 5.1318
_cell_length_c 5.2083
_cell_angle_alpha 90.00
_cell_angle_beta 90.00
_cell_angle_gamma 90.00
_space_group_name_H-M_alt 'P 4/m m m'
_space_group_IT_number 123
_space_group_name_Hall '-P 4 2'
loop_
_atom_site_label
_atom_site_fract_x
_atom_site_fract_y
_atom_site_fract_z
Ta1 0.0000 0.0000 0.0000
Ga1 0.5000 0.5000 0.5000
Sb1 0.0000 0.5000 0.5000
Te1 0.5000 0.5000 0.0000
# E_tot ... -4.0402 eV per atom
# ΔE to the lowest computed polymorph ... 864 meV per atom